Here is SrSbBr after structural relaxation from Alexandria. Energies are from GGA-PBEsol.

The structure belongs to space group P3m1 (No. 156); the cell edges are 3.9086, 3.9086 and 7.9802 Å and the angles 90.00°, 90.00° and 120.00°. The distinct sites, in fractional coordinates, are Sr at (0.0000, 0.0000, 0.0000), Sb at (0.6667, 0.3333, 0.3276) and Br at (0.3333, 0.6667, 0.7639).

The total moment comes out at 0.000 μB/atom. The value obtained for the uncorrected formation energy is -2.55 eV/f.u.

Here is CrFe3 after structural relaxation from Alexandria. Energies are from GGA-PBEsol.

The structure belongs to space group R-3m (No. 166, hexagonal axes); the cell edges are 7.8780, 7.8780 and 2.4071 Å and the angles 90.00°, 90.00° and 120.00°. The distinct sites, in fractional coordinates, are Cr at (0.0000, 0.0000, 0.0000) and Fe at (0.0000, 0.5000, 0.0000).

The total moment comes out at 1.380 μB/atom. Its formation energy from the elements is 83 meV per atom.

Here is Li3TlAu after structural relaxation from Alexandria. Energies are from GGA-PBEsol.

The structure belongs to space group Pm-3m (No. 221); the cell edges are 4.791, 4.791 and 4.791 Å and the angles 90.00°, 90.00° and 90.00°. The distinct sites, in fractional coordinates, are Li at (0.000, 0.000, 0.500), Tl at (0.500, 0.500, 0.500) and Au at (0.000, 0.000, 0.000).

The total moment comes out at 0.000 μB/atom. Its formation energy from the elements is -120 meV per atom.

Here is CaMgCd2 after structural relaxation from Alexandria. Energies are from GGA-PBEsol.

The structure belongs to space group R3m (No. 160, hexagonal axes); the cell edges are 3.4984, 3.4984 and 29.3792 Å and the angles 90.00°, 90.00° and 120.00°. The distinct sites, in fractional coordinates, are Ca at (0.0000, 0.0000, 0.0000), Mg at (0.0000, 0.0000, 0.7626), Cd at (0.0000, 0.0000, 0.2477) and Cd at (0.0000, 0.0000, 0.5055).

The total moment comes out at 0.000 μB/atom. Its formation energy from the elements is -6 meV per atom.

Here is CuMo2Pt after structural relaxation from Alexandria. Energies are from GGA-PBEsol.

The structure belongs to space group P4/mmm (No. 123); the cell edges are 3.714, 3.714 and 4.104 Å and the angles 90.00°, 90.00° and 90.00°. The distinct sites, in fractional coordinates, are Cu at (0.000, 0.000, 0.000), Mo at (0.000, 0.500, 0.500) and Pt at (0.500, 0.500, 0.000).

The total moment comes out at 0.000 μB/atom. Its formation energy from the elements is -21 meV per atom.

Here is ZrS2O after structural relaxation from Alexandria. Energies are from GGA-PBEsol.

The structure belongs to space group R-3m (No. 166, hexagonal axes); the cell edges are 3.1553, 3.1553 and 22.8134 Å and the angles 90.00°, 90.00° and 120.00°. The distinct sites, in fractional coordinates, are Zr at (0.0000, 0.0000, 0.0000), S at (0.0000, 0.0000, 0.1052) and O at (0.0000, 0.0000, 0.5000).

The total moment comes out at 0.000 μB/atom. The value obtained for the uncorrected formation energy is 1.94 eV/f.u.

Here is GeOsN2O after structural relaxation from Alexandria. Energies are from GGA-PBEsol.

The structure belongs to space group P4/mmm (No. 123); the cell edges are 3.725, 3.725 and 3.619 Å and the angles 90.00°, 90.00° and 90.00°. The distinct sites, in fractional coordinates, are Ge at (0.000, 0.000, 0.000), Os at (0.500, 0.500, 0.500), N at (0.000, 0.500, 0.000) and O at (0.000, 0.000, 0.500).

The total moment comes out at 0.001 μB/atom. The value obtained for the uncorrected formation energy is 5.90 eV/f.u.

Here is K2Cu3Se4O12 after structural relaxation from Alexandria. Energies are from GGA-PBEsol.

The structure belongs to space group P-1 (No. 2); the cell edges are 5.401, 7.236 and 8.329 Å and the angles 97.89°, 108.34° and 92.57°. The distinct sites, in fractional coordinates, are K at (0.147, 0.074, 0.287), Cu at (0.000, 0.500, 0.000), Cu at (0.398, 0.251, 0.773), Se at (0.197, 0.632, 0.425), Se at (0.423, 0.679, 0.871), O at (0.052, 0.222, 0.606), O at (0.110, 0.464, 0.242), O at (0.270, 0.712, 0.036), O at (0.272, 0.268, 0.967), O at (0.374, 0.868, 0.774) and O at (0.449, 0.773, 0.407).

The total moment comes out at 0.135 μB/atom. The value obtained for the uncorrected formation energy is -19.36 eV/f.u.

Here is La2TiNiO6 after structural relaxation from Alexandria. Energies are from GGA-PBEsol.

The structure belongs to space group P2_1/c (No. 14); the cell edges are 5.495, 5.534 and 9.516 Å and the angles 90.00°, 125.27° and 90.00°. The distinct sites, in fractional coordinates, are La at (0.242, 0.038, 0.249), Ti at (0.500, 0.000, 0.000), Ni at (0.000, 0.000, 0.500), O at (0.178, 0.207, 0.960), O at (0.252, 0.717, 0.959) and O at (0.331, 0.016, 0.755).

The total moment comes out at 0.192 μB/atom. The value obtained for the uncorrected formation energy is -28.80 eV/f.u.

Here is MgTe2P after structural relaxation from Alexandria. Energies are from GGA-PBEsol.

The structure belongs to space group R3m (No. 160, hexagonal axes); the cell edges are 4.1129, 4.1129 and 20.0613 Å and the angles 90.00°, 90.00° and 120.00°. The distinct sites, in fractional coordinates, are Mg at (0.0000, 0.0000, 0.0000), Te at (0.0000, 0.0000, 0.2494), Te at (0.0000, 0.0000, 0.4774) and P at (0.0000, 0.0000, 0.7398).

The total moment comes out at 0.000 μB/atom. The value obtained for the uncorrected formation energy is -0.28 eV/f.u.

Here is MgMoOF2 after structural relaxation from Alexandria. Energies are from GGA-PBEsol.

The structure belongs to space group P4/mmm (No. 123); the cell edges are 3.671, 3.671 and 4.309 Å and the angles 90.00°, 90.00° and 90.00°. The distinct sites, in fractional coordinates, are Mg at (0.000, 0.000, 0.000), Mo at (0.500, 0.500, 0.500), O at (0.000, 0.000, 0.500) and F at (0.000, 0.500, 0.000).

The total moment comes out at 0.800 μB/atom. The value obtained for the uncorrected formation energy is -7.65 eV/f.u.

Here is EuIn2Ni after structural relaxation from Alexandria. Energies are from GGA-PBEsol.

The structure belongs to space group Cmcm (No. 63); the cell edges are 4.331, 10.340 and 7.580 Å and the angles 90.00°, 90.00° and 90.00°. The distinct sites, in fractional coordinates, are Eu at (0.000, 0.060, 0.250), In at (0.000, 0.350, 0.053) and Ni at (0.000, 0.219, 0.750).

The total moment comes out at 1.749 μB/atom. Its formation energy from the elements is -431 meV per atom.